AcNd4In: relaxed, PBE.

## Properties
**Distance to the lowest polymorph of the same formula**: 20.5 meV per atom
**Density**: 7.22 g/cm3
**Volume**: 35.24 Å³ per atom
**Space group**: C2/m
**Calculated total energy**: -4.432 eV/atom

Geometry as extended XYZ:
```
6
Lattice="6.231 -2.801 0.000 6.231 2.801 0.000 -3.734 0.000 6.058" Properties=species:S:1:pos:R:3 pbc="T T T"
Ac 0.000 0.000 0.000
Nd 1.227 0.000 4.006
Nd 3.650 0.000 1.241
Nd 5.078 0.000 4.818
Nd 7.501 0.000 2.052
In -1.867 0.000 3.029
```

=====

AcNd2In: relaxed, PBE.

## Properties
**Distance to the lowest polymorph of the same formula**: 24.3 meV per atom
**Density**: 7.48 g/cm3
**Volume**: 34.98 Å³ per atom
**Space group**: Pnma
**Calculated total energy**: -4.299 eV/atom

Geometry as extended XYZ:
```
16
Lattice="13.740 0.000 0.000 0.000 5.665 0.000 0.000 0.000 7.191" Properties=species:S:1:pos:R:3 pbc="T T T"
Ac 1.706 1.416 0.675
Ac 5.164 4.249 4.270
Ac 8.577 1.416 2.920
Ac 12.034 4.249 6.516
Nd 0.781 4.249 2.739
Nd 2.747 1.416 4.392
Nd 4.124 4.249 0.797
Nd 6.089 1.416 6.335
Nd 7.651 4.249 0.856
Nd 9.617 1.416 6.394
Nd 10.994 4.249 2.798
Nd 12.960 1.416 4.451
In 1.657 4.249 5.834
In 5.213 1.416 2.238
In 8.528 4.249 4.952
In 12.083 1.416 1.357
```

=====

Ac2NdIn: relaxed, PBE.

## Properties
**Distance to the lowest polymorph of the same formula**: 113.2 meV per atom
**Density**: 8.22 g/cm3
**Volume**: 36.03 Å³ per atom
**Space group**: R3m
**Calculated total energy**: -4.009 eV/atom

Geometry as extended XYZ:
```
4
Lattice="2.940 1.697 4.814 -2.940 1.697 4.814 0.000 -3.394 4.814" Properties=species:S:1:pos:R:3 pbc="T T T"
Ac 0.000 0.000 0.000
Ac 0.000 0.000 3.600
Nd 0.000 0.000 10.839
In 0.000 0.000 7.215
```